No. 1
This record from Alexandria describes crystalline K3ZnIr at its relaxed geometry. The functional is GGA-PBEsol.

Unit cell a=5.989 b=5.989 c=5.989 alpha=90.00 beta=90.00 gamma=90.00
Fractional positions:
Zn 0.500 0.500 0.500
Ir 0.000 0.000 0.000
K 0.000 0.500 0.000
K 0.000 0.000 0.500
K 0.500 0.000 0.000

Values from the calculation:
The calculation puts the formation enthalpy at 0 K at 0.90 eV per atom. The value obtained for the calculated density is 2.9 g/cm3. Its size of the total moment is 0.3 μB per formula unit. For the calculated volume, the calculation gives 42.95 A^3/atom.

No. 2
This record from Alexandria describes crystalline KZnIr2 at its relaxed geometry. The functional is GGA-PBEsol.

Unit cell a=2.717 b=2.717 c=9.065 alpha=90.00 beta=90.00 gamma=90.00
Fractional positions:
Ir 0.000 0.000 0.702
Ir 0.000 0.000 0.298
K 0.500 0.500 0.000
Zn 0.500 0.500 0.500

Values from the calculation:
The calculation puts the formation enthalpy at 0 K at 0.50 eV per atom. The value obtained for the calculated density is 12.1 g/cm3. Its size of the total moment is 0.0 μB per formula unit. For the calculated volume, the calculation gives 16.73 A^3/atom.

No. 3
This record from Alexandria describes crystalline KZn2Ir at its relaxed geometry. The functional is GGA-PBEsol.

Unit cell a=2.625 b=4.995 c=5.557 alpha=90.00 beta=90.00 gamma=90.00
Fractional positions:
Ir 0.500 0.500 0.000
K 0.000 0.500 0.500
Zn 0.000 0.000 0.000
Zn 0.500 0.000 0.500

Values from the calculation:
The calculation puts the formation enthalpy at 0 K at 0.65 eV per atom. The value obtained for the calculated density is 8.3 g/cm3. Its size of the total moment is 0.0 μB per formula unit. The value obtained for the energy relative to the lowest polymorph listed for this composition is 504.8 meV per atom. For the calculated volume, the calculation gives 18.22 A^3/atom.

No. 4
This record from Alexandria describes crystalline KZn2Ir at its relaxed geometry. The functional is GGA-PBEsol.

Unit cell a=3.332 b=3.332 c=7.581 alpha=90.00 beta=90.00 gamma=90.00
Fractional positions:
Ir 0.000 0.000 0.400
K 0.500 0.500 0.727
Zn 0.000 0.000 0.073
Zn 0.500 0.500 0.300

Values from the calculation:
The calculation puts the formation enthalpy at 0 K at 0.29 eV per atom. The value obtained for the calculated density is 7.1 g/cm3. Its size of the total moment is 0.0 μB per formula unit. The value obtained for the energy relative to the lowest polymorph listed for this composition is 138.3 meV per atom. For the calculated volume, the calculation gives 21.04 A^3/atom.

No. 5
This record from Alexandria describes crystalline KZnIr2 at its relaxed geometry. The functional is GGA-PBEsol.

Unit cell a=2.767 b=2.767 c=9.271 alpha=90.00 beta=90.00 gamma=90.00
Fractional positions:
Ir 0.000 0.000 0.009
Ir 0.500 0.500 0.197
K 0.000 0.000 0.486
Zn 0.500 0.500 0.807

Values from the calculation:
The calculation puts the formation enthalpy at 0 K at 0.36 eV per atom. The value obtained for the calculated density is 11.4 g/cm3. Its size of the total moment is 0.0 μB per formula unit. For the calculated volume, the calculation gives 17.74 A^3/atom.

No. 6
This record from Alexandria describes crystalline KZn2Ir at its relaxed geometry. The functional is GGA-PBEsol.

Unit cell a=2.873 b=3.651 c=7.325 alpha=90.00 beta=90.00 gamma=90.00
Fractional positions:
Ir 0.500 0.500 0.000
K 0.500 0.500 0.500
Zn 0.000 0.000 0.833
Zn 0.000 0.000 0.167

Values from the calculation:
The calculation puts the formation enthalpy at 0 K at 0.16 eV per atom. The value obtained for the calculated density is 7.8 g/cm3. Its size of the total moment is 0.0 μB per formula unit. The value obtained for the energy relative to the lowest polymorph listed for this composition is 6.0 meV per atom. For the calculated volume, the calculation gives 19.21 A^3/atom.

Table of final energy (eV/atom), in record order: -2.0567 -5.0878 -2.8753 -3.2417 -5.2345 -3.3740